Computed, not measured: SrCa2I6 after structural relaxation at the PBE level of DFT.

## Properties
Its space-group type is Pbcn, No. 60. The energy relative to the elements, uncorrected comes out at -1.612 eV/atom.

a = 7.277 Å, b = 8.062 Å, c = 27.198 Å
α = 90.00°, β = 90.00°, γ = 90.00°
Element x y z (fractional)
I 0.238 0.572 0.035
I 0.238 0.072 0.965
I 0.254 0.572 0.207
I 0.254 0.072 0.793
I 0.247 0.590 0.370
I 0.247 0.090 0.630
I 0.253 0.090 0.130
I 0.253 0.590 0.870
I 0.246 0.072 0.293
I 0.246 0.572 0.707
I 0.262 0.072 0.465
I 0.262 0.572 0.535
I 0.738 0.928 0.535
I 0.738 0.428 0.465
I 0.754 0.428 0.293
I 0.754 0.928 0.707
I 0.747 0.910 0.870
I 0.747 0.410 0.130
I 0.753 0.910 0.370
I 0.753 0.410 0.630
I 0.746 0.928 0.207
I 0.746 0.428 0.793
I 0.762 0.928 0.035
I 0.762 0.428 0.965
Sr 0.000 0.250 0.381
Sr 0.000 0.750 0.619
Sr 0.500 0.250 0.881
Sr 0.500 0.750 0.119
Ca 0.000 0.250 0.047
Ca 0.000 0.750 0.286
Ca 0.000 0.250 0.714
Ca 0.000 0.750 0.953
Ca 0.500 0.250 0.214
Ca 0.500 0.750 0.786
Ca 0.500 0.250 0.547
Ca 0.500 0.750 0.453